Crystalline Ca2MgSi at its relaxed geometry. Source: Alexandria via LeMat-Bulk, functional PBE-GGA.

Cell and atoms, written as extended XYZ:
```
4
Lattice="5.251 0.000 0.000 2.625 4.547 0.000 2.625 1.516 4.287" Properties=species:S:1:pos:R:3 pbc="T T T"
Si 7.876 4.547 3.216
Mg 5.251 3.032 2.144
Ca 0.000 0.000 0.000
Ca 2.625 1.516 1.072
```

Properties
**Crystal system**: cubic
**Energy**: -2.6667 eV per atom
**Space-group type**: F-43m
**ΔE_f (raw)**: 88 meV/atom